1.
The following is a DFT calculation (GGA-PBE) of a relaxed CuSb6Os crystal.

Geometry as CIF:
```
data_CuSb6Os
_chemical_formula_sum 'Cu2 Sb12 Os2'
_space_group_name_H-M_alt 'P 1'
_space_group_IT_number 1
_space_group_name_Hall 'P 1'
_cell_length_a 8.180
_cell_length_b 8.180
_cell_length_c 8.150
_cell_angle_alpha 109.20
_cell_angle_beta 109.66
_cell_angle_gamma 109.71
loop_
_atom_site_label
_atom_site_fract_x
_atom_site_fract_y
_atom_site_fract_z
_atom_site_occupancy
Cu1 0.000 0.000 0.500 1
Cu2 0.500 0.500 0.500 1
Sb1 0.152 0.666 0.818 1
Sb2 0.848 0.334 0.182 1
Sb3 0.842 0.652 0.494 1
Sb4 0.158 0.348 0.506 1
Sb5 0.815 0.159 0.662 1
Sb6 0.185 0.841 0.338 1
Sb7 0.503 0.847 0.662 1
Sb8 0.497 0.153 0.338 1
Sb9 0.656 0.814 0.152 1
Sb10 0.344 0.186 0.848 1
Sb11 0.662 0.505 0.848 1
Sb12 0.338 0.495 0.152 1
Os1 0.000 0.500 0.000 1
Os2 0.500 0.000 0.000 1
```

## Properties
- VASP energy: -4.99 eV/atom
- Spin magnetization: 0.0 μB/f.u.
- Uncorrected formation energy: 0.02 eV per atom

=====

2.
The following is a DFT calculation (GGA-PBE) of a relaxed Ba2CdBi4Pd3 crystal.

Geometry as CIF:
```
data_Ba2CdBi4Pd3
_chemical_formula_sum 'Ba2 Cd1 Bi4 Pd3'
_space_group_name_H-M_alt 'P 1'
_space_group_IT_number 1
_space_group_name_Hall 'P 1'
_cell_length_a 4.943
_cell_length_b 4.943
_cell_length_c 11.583
_cell_angle_alpha 90.00
_cell_angle_beta 90.00
_cell_angle_gamma 90.00
loop_
_atom_site_label
_atom_site_fract_x
_atom_site_fract_y
_atom_site_fract_z
_atom_site_occupancy
Ba1 0.500 0.000 0.250 1
Ba2 0.000 0.500 0.750 1
Cd1 0.500 0.500 0.500 1
Bi1 0.500 0.500 0.000 1
Bi2 0.000 0.000 0.000 1
Bi3 0.500 0.000 0.640 1
Bi4 0.000 0.500 0.360 1
Pd1 0.000 0.000 0.500 1
Pd2 0.500 0.000 0.879 1
Pd3 0.000 0.500 0.121 1
```

## Properties
- VASP energy: -4.17 eV/atom
- DFT formation energy: -0.584 eV per atom
- Spin magnetization: 0.0 μB/f.u.

=====

3.
The following is a DFT calculation (GGA-PBE) of a relaxed RbSm2O crystal.

Geometry as CIF:
```
data_RbSm2O
_chemical_formula_sum 'Rb1 Sm2 O1'
_space_group_name_H-M_alt 'P 1'
_space_group_IT_number 1
_space_group_name_Hall 'P 1'
_cell_length_a 3.702
_cell_length_b 3.702
_cell_length_c 10.621
_cell_angle_alpha 79.96
_cell_angle_beta 79.96
_cell_angle_gamma 60.00
loop_
_atom_site_label
_atom_site_fract_x
_atom_site_fract_y
_atom_site_fract_z
_atom_site_occupancy
O1 0.500 0.500 0.500 1
Rb1 0.000 0.000 0.000 1
Sm1 0.125 0.125 0.626 1
Sm2 0.875 0.875 0.374 1
```

## Properties
- VASP energy: -4.85 eV/atom
- Spin magnetization: 0.8 μB/f.u.
- Uncorrected formation energy: -1.01 eV per atom

=====

Copy entry 2 word for word.
The following is a DFT calculation (GGA-PBE) of a relaxed Ba2CdBi4Pd3 crystal.

Geometry as CIF:
```
data_Ba2CdBi4Pd3
_chemical_formula_sum 'Ba2 Cd1 Bi4 Pd3'
_space_group_name_H-M_alt 'P 1'
_space_group_IT_number 1
_space_group_name_Hall 'P 1'
_cell_length_a 4.943
_cell_length_b 4.943
_cell_length_c 11.583
_cell_angle_alpha 90.00
_cell_angle_beta 90.00
_cell_angle_gamma 90.00
loop_
_atom_site_label
_atom_site_fract_x
_atom_site_fract_y
_atom_site_fract_z
_atom_site_occupancy
Ba1 0.500 0.000 0.250 1
Ba2 0.000 0.500 0.750 1
Cd1 0.500 0.500 0.500 1
Bi1 0.500 0.500 0.000 1
Bi2 0.000 0.000 0.000 1
Bi3 0.500 0.000 0.640 1
Bi4 0.000 0.500 0.360 1
Pd1 0.000 0.000 0.500 1
Pd2 0.500 0.000 0.879 1
Pd3 0.000 0.500 0.121 1
```

## Properties
- VASP energy: -4.17 eV/atom
- DFT formation energy: -0.584 eV per atom
- Spin magnetization: 0.0 μB/f.u.

=====

Which formula does entry 1 have? CuSb6Os

=====

Look up the spin magnetization of the third one. 0.8 μB/f.u.